## Dy8CoPd2 (GGA-PBE)

Data for an optimized crystal structure of Dy8CoPd2.

```
data_Dy8CoPd2
_chemical_formula_sum 'Dy8 Co1 Pd2'
_symmetry_space_group_name_H-M 'P 1'
_symmetry_Int_Tables_number 1
_cell_length_a 6.1006
_cell_length_b 7.6032
_cell_length_c 7.6032
_cell_angle_alpha 113.31
_cell_angle_beta 102.47
_cell_angle_gamma 102.47
loop_
_symmetry_equiv_pos_as_xyz
'x,y,z'
loop_
_atom_site_label
_atom_site_fract_x
_atom_site_fract_y
_atom_site_fract_z
Dy1 0.9843 0.8085 0.1888
Dy2 0.8039 0.6477 0.6477
Pd1 0.4873 0.3216 0.6971
Dy3 0.3563 0.6604 0.9173
Dy4 0.1734 0.3548 0.3548
Dy5 0.5891 0.0917 0.3483
Co1 0.1883 0.9978 0.9978
Dy6 0.9843 0.1888 0.8085
Dy7 0.3563 0.9173 0.6604
Dy8 0.5891 0.3483 0.0917
Pd2 0.4873 0.6971 0.3216
```

Properties
The value obtained for the formation energy is -250 meV per atom. As for the density of states at the Fermi level: 12.95 states/eV per cell. The calculation puts the energy above the most stable polymorph in this dataset at 0.092 eV per atom.